Entry 1:
LaGeBPt6 | PBE-GGA | optimized geometry

abc: 7.863 7.863 7.863
angles: 125.20 116.70 88.53
Fractional coordinates of all 18 atoms:
La: 0.424 0.174 0.250
La: 0.576 0.826 0.750
Ge: 0.000 0.000 0.500
Ge: 0.000 0.500 0.000
B: 0.000 0.500 0.500
B: 0.500 0.500 0.000
Pt: 0.107 0.399 0.263
Pt: 0.107 0.844 0.708
Pt: 0.146 0.896 0.250
Pt: 0.310 0.560 0.750
Pt: 0.364 0.156 0.763
Pt: 0.364 0.601 0.208
Pt: 0.636 0.399 0.792
Pt: 0.636 0.844 0.237
Pt: 0.690 0.440 0.250
Pt: 0.854 0.104 0.750
Pt: 0.893 0.156 0.292
Pt: 0.893 0.601 0.737

Summary:
- symmetry = Imma
- energy of formation from the pure elements (eV per atom) = -0.4977
- calculated density (g/cm3) = 13.75


Entry 2:
Cd2PH | PBE-GGA | optimized geometry

abc: 7.106 7.106 7.106
angles: 138.24 138.24 60.54
Fractional coordinates of all 8 atoms:
Cd: 0.069 0.625 0.944
Cd: 0.375 0.319 0.444
Cd: 0.681 0.125 0.056
Cd: 0.875 0.931 0.556
P: 0.250 0.750 0.500
P: 0.500 0.500 0.000
H: 0.000 0.000 0.000
H: 0.750 0.250 0.500

Summary:
- symmetry = I-42d
- VASP energy (eV/atom) = -2.445
- calculated density (g/cm3) = 5.41


Entry 3:
Pr4IrPt2 | PBE-GGA | optimized geometry

abc: 7.633 7.633 6.167
angles: 106.01 106.01 34.71
Fractional coordinates of all 7 atoms:
Pr: 0.090 0.090 0.280
Pr: 0.344 0.344 0.200
Pr: 0.656 0.656 0.800
Pr: 0.910 0.910 0.720
Ir: 0.500 0.500 0.000
Pt: 0.270 0.270 0.687
Pt: 0.730 0.730 0.313

Summary:
- symmetry = C2/m
- energy of formation from the pure elements (eV per atom) = -0.7967
- calculated density (g/cm3) = 9.72


Entry 4:
SiPbS3 | PBE-GGA | optimized geometry

abc: 7.206 6.081 11.437
angles: 90.00 101.15 90.00
Fractional coordinates of all 20 atoms:
Si: 0.080 0.243 0.482
Si: 0.080 0.257 0.982
Si: 0.920 0.743 0.018
Si: 0.920 0.757 0.518
Pb: 0.322 0.741 0.876
Pb: 0.322 0.759 0.376
Pb: 0.678 0.241 0.624
Pb: 0.678 0.259 0.124
S: 0.052 0.061 0.640
S: 0.052 0.439 0.140
S: 0.181 0.575 0.587
S: 0.181 0.925 0.087
S: 0.344 0.218 0.421
S: 0.344 0.282 0.921
S: 0.656 0.718 0.079
S: 0.656 0.782 0.579
S: 0.819 0.075 0.913
S: 0.819 0.425 0.413
S: 0.948 0.561 0.860
S: 0.948 0.939 0.360

Summary:
- symmetry = P2_1/c
- ΔE_f (raw) (eV/atom) = -0.55
- calculated density (g/cm3) = 4.48


Entry 5:
AcCuO2 | PBE-GGA | optimized geometry

abc: 6.151 6.151 6.151
angles: 38.23 38.23 38.23
Fractional coordinates of all 4 atoms:
Ac: 0.000 0.000 0.000
Cu: 0.500 0.500 0.500
O: 0.394 0.394 0.394
O: 0.606 0.606 0.606

Summary:
- symmetry = R-3m
- ΔE_f (raw) (eV/atom) = -2.28
- calculated density (g/cm3) = 6.69


Entry 6:
TbCeTcOs | PBE-GGA | optimized geometry

abc: 4.863 4.863 4.863
angles: 60.00 60.00 60.00
Fractional coordinates of all 4 atoms:
Tb: 0.000 0.000 0.000
Ce: 0.500 0.500 0.500
Tc: 0.750 0.750 0.750
Os: 0.250 0.250 0.250

Summary:
- symmetry = F-43m
- energy of formation from the pure elements (eV per atom) = -0.0332
- calculated density (g/cm3) = 11.99


Entry 7:
Y2Be | PBE-GGA | optimized geometry

abc: 4.874 4.874 3.247
angles: 90.00 90.00 90.00
Fractional coordinates of all 3 atoms:
Y: 0.000 0.500 0.000
Y: 0.500 0.000 0.000
Be: 0.000 0.000 0.500

Summary:
- symmetry = P4/mmm
- energy of formation from the pure elements (eV per atom) = 0.2644
- calculated density (g/cm3) = 4.02


Entry 8:
La6In5Cu | PBE-GGA | optimized geometry

abc: 8.754 8.754 7.888
angles: 90.00 90.00 143.15
Fractional coordinates of all 12 atoms:
La: 0.000 0.000 0.238
La: 0.000 0.000 0.762
La: 0.340 0.660 0.243
La: 0.340 0.660 0.757
La: 0.660 0.340 0.243
La: 0.660 0.340 0.757
In: 0.169 0.831 0.000
In: 0.169 0.831 0.500
In: 0.500 0.500 0.500
In: 0.831 0.169 0.000
In: 0.831 0.169 0.500
Cu: 0.500 0.500 0.000

Summary:
- symmetry = Cmmm
- energy of formation from the pure elements (eV per atom) = -0.4270
- calculated density (g/cm3) = 6.74


Entry 9:
Ce2AlPb | PBE-GGA | optimized geometry

abc: 10.908 10.908 10.908
angles: 17.69 17.69 17.69
Fractional coordinates of all 4 atoms:
Ce: 0.244 0.244 0.244
Ce: 0.756 0.756 0.756
Al: 0.500 0.500 0.500
Pb: 0.000 0.000 0.000

Summary:
- symmetry = R-3m
- energy of formation from the pure elements (eV per atom) = -0.1481
- calculated density (g/cm3) = 8.17


Entry 10:
TmPd3Au2 | PBE-GGA | optimized geometry

abc: 5.730 4.161 8.808
angles: 90.00 92.23 90.00
Fractional coordinates of all 12 atoms:
Tm: 0.124 0.250 0.246
Tm: 0.876 0.750 0.754
Pd: 0.130 0.250 0.917
Pd: 0.371 0.750 0.415
Pd: 0.374 0.750 0.747
Pd: 0.626 0.250 0.253
Pd: 0.629 0.250 0.585
Pd: 0.870 0.750 0.083
Au: 0.139 0.250 0.583
Au: 0.376 0.750 0.083
Au: 0.624 0.250 0.917
Au: 0.861 0.750 0.417

Summary:
- symmetry = P2_1/m
- energy of formation from the pure elements (eV per atom) = -0.6307
- calculated density (g/cm3) = 13.96


Entry 11:
LiNdTe | PBE-GGA | optimized geometry

abc: 4.495 4.495 4.165
angles: 90.00 90.00 120.00
Fractional coordinates of all 3 atoms:
Li: 0.000 0.000 0.000
Nd: 0.667 0.333 0.500
Te: 0.333 0.667 0.000

Summary:
- symmetry = P-6m2
- ΔE_f (raw) (eV/atom) = -0.99
- calculated density (g/cm3) = 6.35


Entry 12:
MnNiAuI2 | PBE-GGA | optimized geometry

abc: 5.188 5.188 4.731
angles: 90.00 90.00 90.00
Fractional coordinates of all 5 atoms:
Mn: 0.000 0.000 0.000
Ni: 0.000 0.000 0.500
Au: 0.500 0.500 0.000
I: 0.000 0.500 0.500
I: 0.500 0.000 0.500

Summary:
- symmetry = P4/mmm
- ΔE_f (raw) (eV/atom) = 0.61
- calculated density (g/cm3) = 7.36